1.
# PBE-GGA NdPuMgSn, relaxed
data_NdPuMgSn
_chemical_formula_sum 'Nd4 Pu4 Mg4 Sn4'
_cell_length_a 7.644
_cell_length_b 7.644
_cell_length_c 7.644
_cell_angle_alpha 90.00
_cell_angle_beta 90.00
_cell_angle_gamma 90.00
_space_group_name_H-M_alt 'F -4 3 m'
_space_group_IT_number 216
_space_group_name_Hall 'F -4 2 3'
loop_
_atom_site_label
_atom_site_fract_x
_atom_site_fract_y
_atom_site_fract_z
_atom_site_occupancy
Nd1 0.000 0.000 0.000 1
Pu1 0.000 0.000 0.500 1
Mg1 0.250 0.250 0.250 1
Sn1 0.250 0.250 0.750 1
# uncorrected energy	-6.413	eV per atom
# total magnetization	6.50	μB per formula unit
# formation enthalpy at 0 K	-0.24	eV/atom



2.
# PBE-GGA TbNdPuMg, relaxed
data_TbNdPuMg
_chemical_formula_sum 'Tb4 Nd4 Pu4 Mg4'
_cell_length_a 7.811
_cell_length_b 7.811
_cell_length_c 7.811
_cell_angle_alpha 90.00
_cell_angle_beta 90.00
_cell_angle_gamma 90.00
_space_group_name_H-M_alt 'F -4 3 m'
_space_group_IT_number 216
_space_group_name_Hall 'F -4 2 3'
loop_
_atom_site_label
_atom_site_fract_x
_atom_site_fract_y
_atom_site_fract_z
_atom_site_occupancy
Tb1 0.000 0.000 0.000 1
Nd1 0.000 0.000 0.500 1
Pu1 0.250 0.250 0.750 1
Mg1 0.250 0.250 0.250 1
# uncorrected energy	-6.179	eV per atom
# total magnetization	6.21	μB per formula unit
# formation enthalpy at 0 K	0.15	eV/atom



3.
# PBE-GGA NdPuThMg, relaxed
data_NdPuThMg
_chemical_formula_sum 'Nd4 Pu4 Th4 Mg4'
_cell_length_a 7.776
_cell_length_b 7.776
_cell_length_c 7.776
_cell_angle_alpha 90.00
_cell_angle_beta 90.00
_cell_angle_gamma 90.00
_space_group_name_H-M_alt 'F -4 3 m'
_space_group_IT_number 216
_space_group_name_Hall 'F -4 2 3'
loop_
_atom_site_label
_atom_site_fract_x
_atom_site_fract_y
_atom_site_fract_z
_atom_site_occupancy
Nd1 0.000 0.000 0.000 1
Pu1 0.250 0.250 0.750 1
Th1 0.000 0.000 0.500 1
Mg1 0.250 0.250 0.250 1
# uncorrected energy	-6.855	eV per atom
# total magnetization	6.73	μB per formula unit
# formation enthalpy at 0 K	0.17	eV/atom



4.
# PBE-GGA NdPuMgTl, relaxed
data_NdPuMgTl
_chemical_formula_sum 'Nd4 Pu4 Mg4 Tl4'
_cell_length_a 7.713
_cell_length_b 7.713
_cell_length_c 7.713
_cell_angle_alpha 90.00
_cell_angle_beta 90.00
_cell_angle_gamma 90.00
_space_group_name_H-M_alt 'F -4 3 m'
_space_group_IT_number 216
_space_group_name_Hall 'F -4 2 3'
loop_
_atom_site_label
_atom_site_fract_x
_atom_site_fract_y
_atom_site_fract_z
_atom_site_occupancy
Nd1 0.000 0.000 0.000 1
Pu1 0.000 0.000 0.500 1
Mg1 0.250 0.250 0.250 1
Tl1 0.250 0.250 0.750 1
# uncorrected energy	-5.811	eV per atom
# total magnetization	6.41	μB per formula unit
# formation enthalpy at 0 K	-0.05	eV/atom



5.
# PBE-GGA NdPuMgZn, relaxed
data_NdPuMgZn
_chemical_formula_sum 'Nd4 Pu4 Mg4 Zn4'
_cell_length_a 7.471
_cell_length_b 7.471
_cell_length_c 7.471
_cell_angle_alpha 90.00
_cell_angle_beta 90.00
_cell_angle_gamma 90.00
_space_group_name_H-M_alt 'F -4 3 m'
_space_group_IT_number 216
_space_group_name_Hall 'F -4 2 3'
loop_
_atom_site_label
_atom_site_fract_x
_atom_site_fract_y
_atom_site_fract_z
_atom_site_occupancy
Nd1 0.000 0.000 0.000 1
Pu1 0.000 0.000 0.500 1
Mg1 0.250 0.250 0.250 1
Zn1 0.250 0.250 0.750 1
# uncorrected energy	-5.479	eV per atom
# total magnetization	6.32	μB per formula unit
# formation enthalpy at 0 K	0.01	eV/atom



6.
# PBE-GGA RbNdMgS3, relaxed
data_RbNdMgS3
_chemical_formula_sum 'Rb2 Nd2 Mg2 S6'
_cell_length_a 9.157
_cell_length_b 4.228
_cell_length_c 9.952
_cell_angle_alpha 90.00
_cell_angle_beta 106.64
_cell_angle_gamma 90.00
_space_group_name_H-M_alt 'P 1 21/m 1'
_space_group_IT_number 11
_space_group_name_Hall '-P 2yb'
loop_
_atom_site_label
_atom_site_fract_x
_atom_site_fract_y
_atom_site_fract_z
_atom_site_occupancy
Rb1 0.199 0.250 0.220 1
Nd1 0.335 0.750 0.860 1
Mg1 0.084 0.250 0.607 1
S1 0.122 0.250 0.856 1
S2 0.186 0.750 0.540 1
S3 0.460 0.750 0.150 1
# uncorrected energy	-4.933	eV per atom
# total magnetization	0.00	μB per formula unit
# raw formation energy	-37.99	kcal/mol of atoms



7.
# PBE-GGA Rb3Nd2MgSe6, relaxed
data_Rb3Nd2MgSe6
_chemical_formula_sum 'Rb6 Nd4 Mg2 Se12'
_cell_length_a 7.420
_cell_length_b 12.860
_cell_length_c 8.430
_cell_angle_alpha 90.00
_cell_angle_beta 107.13
_cell_angle_gamma 90.00
_space_group_name_H-M_alt 'C 1 2/m 1'
_space_group_IT_number 12
_space_group_name_Hall '-C 2y'
loop_
_atom_site_label
_atom_site_fract_x
_atom_site_fract_y
_atom_site_fract_z
_atom_site_occupancy
Rb1 0.000 0.000 0.000 1
Rb2 0.000 0.331 0.000 1
Nd1 0.000 0.166 0.500 1
Mg1 0.000 0.500 0.500 1
Se1 0.226 0.339 0.696 1
Se2 0.244 0.000 0.698 1
# uncorrected energy	-4.340	eV per atom
# total magnetization	0.00	μB per formula unit
# raw formation energy	-32.93	kcal/mol of atoms



8.
# PBE-GGA NdMgRe4, relaxed
data_NdMgRe4
_chemical_formula_sum 'Nd4 Mg4 Re16'
_cell_length_a 7.620
_cell_length_b 7.620
_cell_length_c 7.620
_cell_angle_alpha 90.00
_cell_angle_beta 90.00
_cell_angle_gamma 90.00
_space_group_name_H-M_alt 'F -4 3 m'
_space_group_IT_number 216
_space_group_name_Hall 'F -4 2 3'
loop_
_atom_site_label
_atom_site_fract_x
_atom_site_fract_y
_atom_site_fract_z
_atom_site_occupancy
Nd1 0.000 0.000 0.000 1
Mg1 0.250 0.250 0.750 1
Re1 0.125 0.125 0.375 1
# uncorrected energy	-9.242	eV per atom
# total magnetization	0.00	μB per formula unit
# formation enthalpy at 0 K	0.12	eV/atom



9.
# PBE-GGA NdMgRh, relaxed
data_NdMgRh
_chemical_formula_sum 'Nd1 Mg1 Rh1'
_cell_length_a 4.5183
_cell_length_b 4.5183
_cell_length_c 3.8754
_cell_angle_alpha 90.00
_cell_angle_beta 90.00
_cell_angle_gamma 120.00
_space_group_name_H-M_alt 'P -6 m 2'
_space_group_IT_number 187
_space_group_name_Hall 'P -6 2'
loop_
_atom_site_label
_atom_site_fract_x
_atom_site_fract_y
_atom_site_fract_z
_atom_site_occupancy
Nd1 0.0000 0.0000 0.0000 1
Mg1 0.3333 0.6667 0.5000 1
Rh1 0.6667 0.3333 0.5000 1
# uncorrected energy	-4.959	eV per atom
# total magnetization	0.00	μB per formula unit
# formation enthalpy at 0 K	-0.39	eV/atom



10.
# PBE-GGA NdMgRh, relaxed
data_NdMgRh
_chemical_formula_sum 'Nd4 Mg4 Rh4'
_cell_length_a 6.696
_cell_length_b 6.696
_cell_length_c 6.696
_cell_angle_alpha 90.00
_cell_angle_beta 90.00
_cell_angle_gamma 90.00
_space_group_name_H-M_alt 'F -4 3 m'
_space_group_IT_number 216
_space_group_name_Hall 'F -4 2 3'
loop_
_atom_site_label
_atom_site_fract_x
_atom_site_fract_y
_atom_site_fract_z
_atom_site_occupancy
Nd1 0.000 0.000 0.000 1
Mg1 0.000 0.000 0.500 1
Rh1 0.250 0.250 0.250 1
# uncorrected energy	-4.997	eV per atom
# total magnetization	0.00	μB per formula unit
# formation enthalpy at 0 K	-0.43	eV/atom



11.
# PBE-GGA Nd2Mg3Rh2, relaxed
data_Nd2Mg3Rh2
_chemical_formula_sum 'Nd4 Mg6 Rh4'
_cell_length_a 10.414
_cell_length_b 4.256
_cell_length_c 7.269
_cell_angle_alpha 90.00
_cell_angle_beta 97.89
_cell_angle_gamma 90.00
_space_group_name_H-M_alt 'C 1 2/m 1'
_space_group_IT_number 12
_space_group_name_Hall '-C 2y'
loop_
_atom_site_label
_atom_site_fract_x
_atom_site_fract_y
_atom_site_fract_z
_atom_site_occupancy
Nd1 0.126 0.000 0.365 1
Mg1 0.000 0.500 0.000 1
Mg2 0.184 0.000 0.866 1
Rh1 0.095 0.500 0.659 1
# uncorrected energy	-4.606	eV per atom
# total magnetization	0.00	μB per formula unit
# formation enthalpy at 0 K	-0.46	eV/atom



12.
# PBE-GGA Nd3Mg2Rh4, relaxed
data_Nd3Mg2Rh4
_chemical_formula_sum 'Nd6 Mg4 Rh8'
_cell_length_a 13.831
_cell_length_b 4.239
_cell_length_c 6.806
_cell_angle_alpha 90.00
_cell_angle_beta 105.17
_cell_angle_gamma 90.00
_space_group_name_H-M_alt 'C 1 2/m 1'
_space_group_IT_number 12
_space_group_name_Hall '-C 2y'
loop_
_atom_site_label
_atom_site_fract_x
_atom_site_fract_y
_atom_site_fract_z
_atom_site_occupancy
Nd1 0.000 0.000 0.000 1
Nd2 0.138 0.000 0.586 1
Mg1 0.169 0.500 0.993 1
Rh1 0.031 0.500 0.308 1
Rh2 0.201 0.000 0.236 1
# uncorrected energy	-5.674	eV per atom
# total magnetization	0.00	μB per formula unit
# formation enthalpy at 0 K	-0.46	eV/atom